Co2OsN: relaxed, GGA-PBE.

Cell and atoms, written as extended XYZ:
```
8
Lattice="6.059 0.000 0.000 0.000 6.059 0.000 3.029 3.029 2.302" Properties=species:S:1:pos:R:3 pbc="T T T"
N 3.029 3.029 0.000
N 3.029 6.059 1.151
Co 4.544 5.131 1.726
Co 7.574 6.986 1.726
Co 3.957 1.515 0.575
Co 2.102 4.544 0.575
Os 6.059 3.029 1.151
Os 0.000 0.000 0.000
```

Output
SG ... I-42d, No. 122
ρ ... 12.7 g/cm3
ΔE_f (raw) ... 0.51 eV per atom